(1)
DFT (GGA-PBE) results for K3Mn2TlBr9 after structural relaxation.

Computed properties:
The density of states at the Fermi level comes out at 2.50 states/eV/f.u. The space group is P-3m1. The volume is 35.25 A^3/atom. For the uncorrected formation energy, the calculation gives -1.1178 eV per atom.

a b c (Å): 7.514 7.514 10.814
angles (deg): 90.00 90.00 120.00
Fractional positions:
Br1 0.500 0.500 0.000
Br2 0.831 0.662 0.722
Br3 0.169 0.338 0.278
Br4 0.169 0.831 0.278
Br5 0.000 0.500 0.000
Br6 0.831 0.169 0.722
Br7 0.500 0.000 0.000
Br8 0.338 0.169 0.722
Br9 0.662 0.831 0.278
K1 0.333 0.667 0.754
K2 0.667 0.333 0.246
K3 0.000 0.000 0.000
Mn1 0.333 0.667 0.156
Mn2 0.667 0.333 0.844
Tl1 0.000 0.000 0.500

=====

(2)
DFT (GGA-PBE) results for LiBeCo after structural relaxation.

Computed properties:
The density of states at the Fermi level comes out at 1.65 states/eV/f.u. The space group is Fmm2. The volume is 10.68 A^3/atom. The offset from the most stable computed form comes out at 0.014 eV/atom. The formation energy comes out at 0.0997 eV/atom.

a b c (Å): 6.227 6.092 2.378
angles (deg): 82.08 75.69 22.23
Fractional positions:
Co1 0.345 0.345 0.655
Be1 0.987 0.987 0.013
Li1 0.668 0.668 0.332

=====

(3)
DFT (GGA-PBE) results for NaLiCaBi after structural relaxation.

Computed properties:
The density of states at the Fermi level comes out at 2.84 states/eV/f.u. The space group is F-43m. The volume is 27.81 A^3/atom. The formation energy comes out at -0.3893 eV/atom.

a b c (Å): 5.398 5.398 5.398
angles (deg): 60.00 60.00 60.00
Fractional positions:
Bi1 0.750 0.750 0.750
Ca1 0.500 0.500 0.500
Na1 0.250 0.250 0.250
Li1 0.000 0.000 0.000

=====

(4)
DFT (GGA-PBE) results for CoTcHRh2 after structural relaxation.

Computed properties:
The density of states at the Fermi level comes out at 4.66 states/eV/f.u. The space group is P4/mmm. The volume is 11.25 A^3/atom. The offset from the most stable computed form comes out at 0.000 eV/atom.

a b c (Å): 3.839 3.839 3.816
angles (deg): 90.00 90.00 90.00
Fractional positions:
Tc1 0.500 0.500 0.500
Rh1 0.500 0.000 0.000
Rh2 0.000 0.500 0.000
H1 0.000 0.000 0.000
Co1 0.000 0.000 0.500